No. 1
A geometry-optimized Li2PbAu8 structure, computed with PBE.

Cell and atoms, written as POSCAR:
```
Li2PbAu8
1.0
-4.007 -1.557 -2.990
3.345 -3.817 -2.495
1.048 -1.167 9.599
Au Li Pb
8 2 1
Cartesian
1.259 -3.490 3.877
2.473 -2.822 -1.845
-0.385 -1.614 5.104
0.209 -5.178 1.792
0.176 -1.363 2.322
-0.874 -3.051 0.236
-2.088 -3.719 5.958
0.770 -4.927 -0.990
-1.636 -3.475 3.123
2.021 -3.066 0.990
-2.004 -0.779 -1.495
```

## Properties
The crystal system is monoclinic. The symmetry is C2/m, No. 12.



No. 2
A geometry-optimized Li2PbAu structure, computed with PBE.

Cell and atoms, written as POSCAR:
```
Li2PbAu
1.0
3.523 0.000 0.000
0.000 3.523 0.000
0.000 0.000 6.362
Pb Li Au
1 2 1
Cartesian
0.000 0.000 3.191
0.000 0.000 6.183
1.761 1.761 1.417
1.761 1.761 5.114
```

## Properties
The crystal system is tetragonal. The symmetry is P4mm, No. 99.



No. 3
A geometry-optimized Li2Pb2Au structure, computed with PBE.

Cell and atoms, written as POSCAR:
```
Li2Pb2Au
1.0
-1.565 -3.312 -4.574
-2.979 -2.660 4.288
-5.391 4.158 -1.167
Pb Au Li
4 2 4
Cartesian
-4.112 -3.581 0.062
-4.896 1.009 -0.402
-2.060 -1.135 -0.700
-6.667 -1.567 -1.403
-3.566 0.491 -2.889
-1.578 -1.262 2.125
-7.482 0.346 1.421
-3.969 -2.110 -3.119
-4.250 -1.027 2.038
-6.128 0.674 -3.668
```

## Properties
The crystal system is orthorhombic. The symmetry is Ccc2, No. 37.



E_form: -0.201, -0.292, -0.234 (eV per atom)